Record 1
The following is a DFT calculation (PBE) of crystalline GdS2 at its relaxed geometry.

Lattice parameters (Å, degrees): 5.5474 5.5474 5.5474 60.00 60.00 60.00
Closest atoms and distances in Å follow each position.
Sites, in units of the cell vectors:
Gd 0.1250 0.1250 0.1250  12 S 3.25, 4 Gd 3.40
Gd 0.8750 0.8750 0.8750  12 S 3.25, 4 Gd 3.40
S 0.0000 0.5000 0.5000  6 S 2.77
S 0.5000 0.0000 0.5000  6 S 2.77
S 0.5000 0.5000 0.0000  6 S 2.77
S 0.5000 0.5000 0.5000  6 S 2.77

Computed properties:
* E_form (uncorrected): -204.7 meV per atom

=====

Record 2
The following is a DFT calculation (PBE) of crystalline GdS2 at its relaxed geometry.

Lattice parameters (Å, degrees): 3.8896 3.8896 8.0577 90.00 90.00 90.00
Closest atoms and distances in Å follow each position.
Sites, in units of the cell vectors:
Gd 0.2500 0.2500 0.2255  9 S 2.85-2.95
Gd 0.7500 0.7500 0.7745  9 S 2.85-2.95
S 0.2500 0.2500 0.8673  5 Gd 2.85-2.89
S 0.2500 0.7500 0.5000  4 S 2.75, 4 Gd 2.95
S 0.7500 0.2500 0.5000  4 S 2.75, 4 Gd 2.95
S 0.7500 0.7500 0.1327  5 Gd 2.85-2.89

Computed properties:
* E_form (uncorrected): -1679.2 meV per atom

=====

Record 3
The following is a DFT calculation (PBE) of crystalline GdS2 at its relaxed geometry.

Lattice parameters (Å, degrees): 7.9821 3.9498 7.9088 90.00 90.18 90.00
Closest atoms and distances in Å follow each position.
Sites, in units of the cell vectors:
Gd 0.2238 0.2136 0.3710  9 S 2.79-3.09
Gd 0.2238 0.2864 0.8710  9 S 2.79-3.09
Gd 0.7762 0.7136 0.1290  9 S 2.79-3.09
Gd 0.7762 0.7864 0.6290  9 S 2.79-3.09
S 0.1324 0.7384 0.1257  5 Gd 2.79-3.05
S 0.1324 0.7616 0.6257  5 Gd 2.79-3.05
S 0.4969 0.6605 0.3897  1 S 2.16
S 0.4969 0.8395 0.8897  1 S 2.16
S 0.5031 0.1605 0.1103  1 S 2.16
S 0.5031 0.3395 0.6103  1 S 2.16
S 0.8676 0.2384 0.3743  5 Gd 2.79-3.05
S 0.8676 0.2616 0.8743  5 Gd 2.79-3.05

Computed properties:
* E_form (uncorrected): -1739.4 meV per atom

=====

Record 4
The following is a DFT calculation (PBE) of crystalline Gd2S3 at its relaxed geometry.

Lattice parameters (Å, degrees): 10.7574 3.9293 10.5658 90.00 90.00 90.00
Closest atoms and distances in Å follow each position.
Sites, in units of the cell vectors:
Gd 0.0089 0.2500 0.1862  7 S 2.77-2.83
Gd 0.1910 0.2500 0.5052  7 S 2.85-2.90
Gd 0.3090 0.7500 0.0052  7 S 2.85-2.90
Gd 0.4911 0.7500 0.6862  7 S 2.77-2.83
Gd 0.5089 0.2500 0.3138  7 S 2.77-2.83
Gd 0.6910 0.2500 0.9948  7 S 2.85-2.90
Gd 0.8090 0.7500 0.4948  7 S 2.85-2.90
Gd 0.9911 0.7500 0.8138  7 S 2.77-2.83
S 0.0467 0.7500 0.3728  5 Gd 2.81-2.87
S 0.1201 0.2500 0.9443  5 Gd 2.77-2.90
S 0.2281 0.7500 0.6967  4 Gd 2.83-2.85, 1 S 3.13
S 0.2719 0.2500 0.1967  4 Gd 2.83-2.85, 1 S 3.13
S 0.3799 0.7500 0.4443  5 Gd 2.77-2.90
S 0.4533 0.2500 0.8728  5 Gd 2.81-2.87
S 0.5467 0.7500 0.1272  5 Gd 2.81-2.87
S 0.6201 0.2500 0.5557  5 Gd 2.77-2.90
S 0.7281 0.7500 0.8033  4 Gd 2.83-2.85, 1 S 3.13
S 0.7719 0.2500 0.3033  4 Gd 2.83-2.85, 1 S 3.13
S 0.8799 0.7500 0.0557  5 Gd 2.77-2.90
S 0.9533 0.2500 0.6272  5 Gd 2.81-2.87

Computed properties:
* E_form (uncorrected): -2081.2 meV per atom